CsFeBr3: PBEsol geometry, meta-GGA SCAN.

Unit cell a=6.040 b=7.517 c=7.517 alpha=120.00 beta=90.00 gamma=90.00
Element x y z (fractional)
Cs1 0.750 0.333 0.667
Br1 0.750 0.839 0.161
Br2 0.250 0.161 0.322
Br3 0.250 0.678 0.839
Br4 0.750 0.322 0.161
Br5 0.750 0.839 0.678
Fe1 0.500 0.000 0.000
Cs2 0.250 0.667 0.333
Br6 0.250 0.161 0.839
Fe2 0.000 0.000 0.000

Output
The density of states at the Fermi level is 5.888 states/eV per cell. The value obtained for the magnetization is 0.800 μB per atom. The calculation puts the final energy at -24.1120 eV/atom. The calculation puts the formation energy (no corrections) at -6.2 eV per formula unit.

ScPd2Au: PBEsol geometry, meta-GGA SCAN.

Unit cell a=4.507 b=4.507 c=4.507 alpha=60.00 beta=60.00 gamma=60.00
Element x y z (fractional)
Pd1 0.750 0.750 0.750
Au1 0.500 0.500 0.500
Pd2 0.250 0.250 0.250
Sc1 0.000 0.000 0.000

Output
The density of states at the Fermi level is 2.097 states/eV per cell. The value obtained for the magnetization is 0.000 μB per atom. The calculation puts the final energy at -38.0282 eV/atom. The energy relative to the elements is -0.7926 eV per atom.

HoSiPt2: PBEsol geometry, meta-GGA SCAN.

Unit cell a=5.422 b=6.905 c=7.208 alpha=90.00 beta=90.00 gamma=90.00
Element x y z (fractional)
Ho1 0.366 0.750 0.974
Pt1 0.092 0.051 0.182
Pt2 0.592 0.949 0.318
Pt3 0.592 0.551 0.318
Pt4 0.408 0.051 0.682
Si1 0.865 0.750 0.119
Si2 0.135 0.250 0.881
Ho2 0.866 0.250 0.526
Pt5 0.908 0.551 0.818
Pt6 0.408 0.449 0.682
Si3 0.635 0.750 0.619
Pt7 0.092 0.449 0.182
Ho3 0.634 0.250 0.026
Ho4 0.134 0.750 0.474
Si4 0.365 0.250 0.381
Pt8 0.908 0.949 0.818

Output
The density of states at the Fermi level is 5.833 states/eV per cell. The value obtained for the magnetization is 0.000 μB per atom. The calculation puts the final energy at -51.2097 eV/atom. The calculation puts the formation energy (no corrections) at -5.4 eV per formula unit.

TaWIO2: PBEsol geometry, meta-GGA SCAN.

Unit cell a=3.915 b=3.915 c=6.135 alpha=90.00 beta=90.00 gamma=90.00
Element x y z (fractional)
Ta1 0.000 0.000 0.000
I1 0.000 0.000 0.500
W1 0.500 0.500 0.500
O1 0.500 0.000 0.000
O2 0.000 0.500 0.000

Output
The density of states at the Fermi level is 2.310 states/eV per cell. The value obtained for the magnetization is 0.797 μB per atom. The calculation puts the final energy at -37.3351 eV/atom. The calculation puts the formation energy (no corrections) at -1.2 eV per formula unit.

FeTc2As: PBEsol geometry, meta-GGA SCAN.

Unit cell a=2.749 b=3.824 c=5.225 alpha=90.00 beta=101.45 gamma=90.00
Element x y z (fractional)
Fe1 0.500 0.500 0.500
Tc1 0.888 0.000 0.258
Tc2 0.112 0.000 0.742
As1 0.500 0.500 0.000

Output
The density of states at the Fermi level is 3.538 states/eV per cell. The calculation puts the energy above the most stable polymorph in this dataset at 213 meV per atom. The value obtained for the magnetization is 0.560 μB per atom. The calculation puts the final energy at -26.9869 eV/atom. The energy relative to the elements is 0.1231 eV per atom.

Ba2TiO4: PBEsol geometry, meta-GGA SCAN.

Unit cell a=6.130 b=7.662 c=10.510 alpha=90.00 beta=93.99 gamma=90.00
Element x y z (fractional)
Ba1 0.222 0.499 0.198
O1 0.978 0.258 0.310
O2 0.833 0.319 0.573
O3 0.291 0.009 0.565
O4 0.709 0.991 0.435
Ba2 0.731 0.657 0.426
Ti1 0.260 0.279 0.917
O5 0.209 0.509 0.935
O6 0.333 0.181 0.073
O7 0.667 0.819 0.927
Ba3 0.778 0.501 0.802
O8 0.004 0.173 0.863
Ba4 0.269 0.343 0.574
O9 0.996 0.827 0.137
Ba5 0.278 0.999 0.302
Ti2 0.240 0.779 0.583
O10 0.791 0.491 0.065
O11 0.522 0.758 0.190
O12 0.167 0.681 0.427
Ba6 0.231 0.843 0.926
Ti3 0.740 0.721 0.083
O13 0.478 0.242 0.810
O14 0.504 0.327 0.363
O15 0.496 0.673 0.637
Ba7 0.769 0.157 0.074
O16 0.022 0.742 0.690
Ba8 0.722 0.001 0.698
Ti4 0.760 0.221 0.417

Output
The density of states at the Fermi level is 0.000 states/eV per cell. The value obtained for the magnetization is 0.000 μB per atom. The calculation puts the final energy at -20.4182 eV/atom. The calculation puts the formation energy (no corrections) at -22.9 eV per formula unit.

Ba2SrAl: PBEsol geometry, meta-GGA SCAN.

Unit cell a=4.144 b=6.235 c=7.727 alpha=113.80 beta=105.55 gamma=90.00
Element x y z (fractional)
Sr1 0.556 0.556 0.112
Ba1 0.946 0.946 0.892
Ba2 0.753 0.253 0.506
Al1 0.245 0.745 0.490

Output
The density of states at the Fermi level is 3.009 states/eV per cell. The value obtained for the magnetization is 0.006 μB per atom. The calculation puts the final energy at -27.3029 eV/atom. The energy relative to the elements is -0.0210 eV per atom.

CaP2H6O9: PBEsol geometry, meta-GGA SCAN.

Unit cell a=5.573 b=6.203 c=11.820 alpha=92.92 beta=95.76 gamma=114.26
Element x y z (fractional)
H1 0.956 0.291 0.502
H2 0.312 0.940 0.791
O1 0.220 0.598 0.247
O2 0.517 0.081 0.182
O3 0.589 0.516 0.171
O4 0.236 0.659 0.968
O5 0.483 0.919 0.818
O6 0.090 0.007 0.742
H3 0.967 0.866 0.688
H4 0.811 0.876 0.310
O7 0.832 0.637 0.578
H5 0.044 0.709 0.498
O8 0.910 0.993 0.258
Ca1 0.966 0.226 0.896
O9 0.750 0.832 0.966
H6 0.429 0.541 0.196
P1 0.275 0.610 0.376
Ca2 0.034 0.774 0.104
O10 0.588 0.730 0.407
H7 0.033 0.134 0.312
O11 0.250 0.168 0.034
P2 0.725 0.390 0.624
P3 0.529 0.274 0.098
O12 0.162 0.772 0.435
O13 0.780 0.402 0.753
O14 0.838 0.228 0.565
O15 0.412 0.270 0.593
H8 0.571 0.459 0.804
O16 0.411 0.484 0.829
P4 0.471 0.726 0.902
H9 0.189 0.124 0.690
O17 0.764 0.341 0.032
O18 0.168 0.363 0.422
H10 0.688 0.060 0.209
H11 0.669 0.695 0.482
H12 0.331 0.305 0.518

Output
The density of states at the Fermi level is 0.000 states/eV per cell. The value obtained for the magnetization is 0.000 μB per atom. The calculation puts the final energy at -7.9085 eV/atom.